The following is a DFT calculation (meta-GGA SCAN) of Y5Ru2 at its PBEsol-relaxed geometry.

ΔH_f (0 K) ... -2.86 eV per formula unit
Energy ... -30.246 eV per atom
Total moment ... 0.00 μB per formula unit

a = 8.3818 Å, b = 8.3818 Å, c = 7.1865 Å
α = 96.76°, β = 96.76°, γ = 43.94°
Closest atoms and distances in Å follow each position.
Fractional positions:
Y (0.0800, 0.9200, 0.7500)  4 Ru 2.85-2.91
Y (0.1397, 0.2942, 0.3135)  3 Ru 2.79-3.00
Y (0.2929, 0.5209, 0.0855)  2 Ru 2.71-2.77
Y (0.2942, 0.1397, 0.8135)  3 Ru 2.79-3.00
Y (0.4791, 0.7071, 0.4145)  2 Ru 2.71-2.77
Y (0.5209, 0.2929, 0.5855)  2 Ru 2.71-2.77
Y (0.7058, 0.8603, 0.1865)  3 Ru 2.79-3.00
Y (0.7071, 0.4791, 0.9145)  2 Ru 2.71-2.77
Y (0.8603, 0.7058, 0.6865)  3 Ru 2.79-3.00
Y (0.9200, 0.0800, 0.2500)  4 Ru 2.85-2.91
Ru (0.1028, 0.6759, 0.4240)  7 Y 2.71-3.00
Ru (0.3241, 0.8972, 0.0760)  7 Y 2.71-3.00
Ru (0.6759, 0.1028, 0.9240)  7 Y 2.71-3.00
Ru (0.8972, 0.3241, 0.5760)  7 Y 2.71-3.00